No. 1
This record from Alexandria describes crystalline Rh3Cl at its relaxed geometry. The functional is GGA-PBEsol.

## Properties
**ΔE to the lowest computed polymorph**: 19 kJ/mol of formula units
**Symmetry**: No. 25

```
Rh3Cl
1.0
2.7437 0.0000 0.0000
0.0000 4.3630 0.0000
0.0000 0.0000 4.6985
Rh Cl
3 1
Direct
0.0000 0.0000 0.0000
0.0000 0.5000 0.3905
0.5000 0.5000 0.8917
0.5000 0.0000 0.4531
```

No. 2
This record from Alexandria describes crystalline RhCl at its relaxed geometry. The functional is GGA-PBEsol.

## Properties
**Symmetry**: No. 8

```
RhCl
1.0
12.7374 0.0000 0.0000
0.0000 3.2203 0.0000
-3.3403 0.0000 5.6532
Rh Cl
6 6
Direct
0.0000 0.0000 0.0000
0.0361 0.0000 0.3997
0.1676 0.5000 0.3091
0.5000 0.5000 0.0000
0.5361 0.5000 0.3997
0.6676 0.0000 0.3091
0.0786 0.5000 0.6754
0.2674 0.0000 0.2252
0.3575 0.0000 0.8223
0.5786 0.0000 0.6754
0.7674 0.5000 0.2252
0.8575 0.5000 0.8223
```

No. 3
This record from Alexandria describes crystalline RhCl7 at its relaxed geometry. The functional is GGA-PBEsol.

## Properties
**Symmetry**: No. 225

```
RhCl7
1.0
0.0000 4.1852 4.1852
4.1852 0.0000 4.1852
4.1852 4.1852 0.0000
Rh Cl
1 7
Direct
0.0000 0.0000 0.0000
0.0000 0.0000 0.5000
0.0000 0.5000 0.0000
0.0000 0.5000 0.5000
0.5000 0.0000 0.0000
0.5000 0.0000 0.5000
0.5000 0.5000 0.0000
0.5000 0.5000 0.5000
```

No. 4
This record from Alexandria describes crystalline RhCl2 at its relaxed geometry. The functional is GGA-PBEsol.

## Properties
**Symmetry**: No. 191

```
RhCl2
1.0
4.5398 0.0000 0.0000
-2.2699 3.9316 0.0000
0.0000 0.0000 2.9265
Rh Cl
1 2
Direct
0.0000 0.0000 0.0000
0.3333 0.6667 0.5000
0.6667 0.3333 0.5000
```

Energy relative to the elements, uncorrected: 2.18 0.31 6.45 3.08 (eV per formula unit)